No. 1
Computed, not measured: crystalline RbP2RhS at its relaxed geometry at the GGA-PBE level of DFT.

## Properties
- Excess energy over the best structure of this formula in the dataset: 0.00 eV/f.u.

Geometry as POSCAR:
```
RbP2RhS
1.0
4.5640 0.0000 0.0000
0.0000 4.5640 0.0000
0.0000 0.0000 5.5143
Rb P Rh S
1 2 1 1
direct
0.0000 0.0000 0.0000 Rb
0.0000 0.5000 0.5000 P
0.5000 0.0000 0.5000 P
0.5000 0.5000 0.5000 Rh
0.5000 0.5000 0.0000 S
```

=====

No. 2
Computed, not measured: crystalline RbPRhS2 at its relaxed geometry at the GGA-PBE level of DFT.

## Properties
- Excess energy over the best structure of this formula in the dataset: 10.69 eV/f.u.

Geometry as POSCAR:
```
RbPRhS2
1.0
5.6939 0.0000 0.0000
0.0000 5.6939 0.0000
0.0000 0.0000 5.5094
Rb P Rh S
1 1 1 2
direct
0.0000 0.0000 0.0000 Rb
0.0000 0.0000 0.5000 P
0.5000 0.5000 0.5000 Rh
0.0000 0.5000 0.0000 S
0.5000 0.0000 0.0000 S
```

=====

No. 3
Computed, not measured: crystalline RbP2RhS at its relaxed geometry at the GGA-PBE level of DFT.

## Properties
- Excess energy over the best structure of this formula in the dataset: 11.33 eV/f.u.

Geometry as POSCAR:
```
RbP2RhS
1.0
5.2896 0.0000 0.0000
0.0000 5.2896 0.0000
0.0000 0.0000 5.3524
Rb P Rh S
1 2 1 1
direct
0.0000 0.0000 0.0000 Rb
0.0000 0.5000 0.0000 P
0.5000 0.0000 0.0000 P
0.5000 0.5000 0.5000 Rh
0.0000 0.0000 0.5000 S
```

=====

No. 4
Computed, not measured: crystalline RbP2RhS8 at its relaxed geometry at the GGA-PBE level of DFT.

Geometry as POSCAR:
```
RbP2RhS8
1.0
5.8288 0.0000 0.0000
-2.9144 5.0479 0.0000
0.0000 0.0000 9.9329
Rb P Rh S
1 2 1 8
direct
0.0000 0.0000 0.0000 Rb
0.3333 0.6667 0.6987 P
0.6667 0.3333 0.3013 P
0.0000 0.0000 0.5000 Rh
0.0156 0.6732 0.3620 S
0.3268 0.3424 0.3620 S
0.3333 0.6667 0.8997 S
0.3424 0.0156 0.6380 S
0.6576 0.9844 0.3620 S
0.6667 0.3333 0.1003 S
0.6732 0.6576 0.6380 S
0.9844 0.3268 0.6380 S
```

=====

No. 5
Computed, not measured: crystalline RbPRhS2 at its relaxed geometry at the GGA-PBE level of DFT.

## Properties
- Excess energy over the best structure of this formula in the dataset: 0.00 eV/f.u.

Geometry as POSCAR:
```
RbPRhS2
1.0
5.0790 0.0000 0.0000
0.0000 5.0790 0.0000
0.0000 0.0000 4.4228
Rb P Rh S
1 1 1 2
direct
0.0000 0.0000 0.0000 Rb
0.5000 0.5000 0.0000 P
0.5000 0.5000 0.5000 Rh
0.0000 0.5000 0.5000 S
0.5000 0.0000 0.5000 S
```

=====

No. 6
Computed, not measured: crystalline RbPRhSe2 at its relaxed geometry at the GGA-PBE level of DFT.

Geometry as POSCAR:
```
RbPRhSe2
1.0
4.8961 0.0000 0.0000
0.0000 4.8961 0.0000
0.0000 0.0000 5.8121
Rb P Rh Se
1 1 1 2
direct
0.0000 0.0000 0.0000 Rb
0.0000 0.0000 0.5000 P
0.5000 0.5000 0.0000 Rh
0.0000 0.5000 0.5000 Se
0.5000 0.0000 0.5000 Se
```

=====

Number 1: DFT total energy -4.534 eV per atom. Number 2: DFT total energy -2.267 eV per atom. Number 3: DFT total energy -2.268 eV per atom. Number 4: DFT total energy -4.634 eV per atom. Number 5: DFT total energy -4.405 eV per atom. Number 6: DFT total energy -3.276 eV per atom.